# 1
Entry from Alexandria: a geometry-optimized AsPdNF2 structure (PBE).

Lattice parameters (Å, degrees): 4.2336 4.2336 3.9111 90.00 90.00 90.00
Last column: nearest neighbours and their distance in Å.
Positions (direct):
As 0.5000 0.5000 0.5000  8 F 2.88, 4 N 2.99
N 0.0000 0.0000 0.5000  2 Pd 1.96
Pd 0.0000 0.0000 0.0000  2 N 1.96, 4 F 2.12
F 0.0000 0.5000 0.0000  2 Pd 2.12
F 0.5000 0.0000 0.0000  2 Pd 2.12

Values from the calculation:
Distance to the lowest polymorph of the same formula = 1.457 eV/f.u.
V = 70.10 Å³ per cell
E_tot = -4.13 eV/atom
M_tot = 0.0 μB/cell


# 2
Entry from Alexandria: a geometry-optimized NaBi structure (PBE).

Lattice parameters (Å, degrees): 6.1097 6.8326 12.1772 90.00 90.00 90.00
Last column: nearest neighbours and their distance in Å.
Positions (direct):
Na 0.1933 0.9355 0.0807  6 Bi 3.33-3.71, 3 Na 3.58-3.70
Na 0.6933 0.5645 0.9193  6 Bi 3.33-3.71, 3 Na 3.58-3.70
Na 0.8067 0.4355 0.4193  6 Bi 3.33-3.71, 3 Na 3.58-3.70
Na 0.3067 0.0645 0.5807  6 Bi 3.33-3.71, 3 Na 3.58-3.70
Na 0.2014 0.3132 0.8451  6 Bi 3.30-3.46, 2 Na 3.58-3.66
Na 0.7014 0.1868 0.1549  6 Bi 3.30-3.46, 2 Na 3.58-3.66
Na 0.7986 0.8132 0.6549  6 Bi 3.30-3.46, 2 Na 3.58-3.66
Na 0.2986 0.6868 0.3451  6 Bi 3.30-3.46, 2 Na 3.58-3.66
Bi 0.6498 0.0467 0.8895  2 Bi 3.15-3.16, 4 Na 3.33-3.40
Bi 0.1498 0.4533 0.1105  2 Bi 3.15-3.16, 4 Na 3.33-3.40
Bi 0.3502 0.5467 0.6105  2 Bi 3.15-3.16, 4 Na 3.33-3.40
Bi 0.8502 0.9533 0.3895  2 Bi 3.15-3.16, 4 Na 3.33-3.40
Bi 0.2334 0.8101 0.8156  2 Bi 3.15-3.16, 6 Na 3.30-3.51
Bi 0.7334 0.6899 0.1844  2 Bi 3.15-3.16, 6 Na 3.30-3.51
Bi 0.7666 0.3101 0.6844  2 Bi 3.15-3.16, 6 Na 3.30-3.51
Bi 0.2666 0.1899 0.3156  2 Bi 3.15-3.16, 6 Na 3.30-3.51

Values from the calculation:
Distance to the lowest polymorph of the same formula = 0.093 eV/f.u.
V = 508.34 Å³ per cell
E_tot = -2.86 eV/atom
E_form = -0.26 eV/atom
M_tot = 0.0 μB/cell


# 3
Entry from Alexandria: a geometry-optimized Ca2VPPb structure (PBE).

Lattice parameters (Å, degrees): 5.5510 5.1310 5.5510 90.00 90.00 90.00
Last column: nearest neighbours and their distance in Å.
Positions (direct):
Pb 0.0000 0.5000 0.0000  2 V 2.57
P 0.5000 0.5000 0.5000  8 Ca 3.78, 4 Pb 3.93
Ca 0.0000 0.0000 0.5000  2 V 2.78
Ca 0.5000 0.0000 0.0000  2 V 2.78
V 0.0000 0.0000 0.0000  2 Pb 2.57, 4 Ca 2.78

Values from the calculation:
V = 158.10 Å³ per cell
E_tot = -3.83 eV/atom
E_form = 0.62 eV/atom
M_tot = 4.2 μB/cell


# 4
Entry from Alexandria: a geometry-optimized RbGa2Ru structure (PBE).

Lattice parameters (Å, degrees): 6.3950 6.3950 8.2097 67.08 67.08 90.00
Last column: nearest neighbours and their distance in Å.
Positions (direct):
Ru 0.0000 0.0000 0.0000  4 Ga 2.34
Ru 0.7500 0.2500 0.5000  4 Ga 2.34
Ga 0.8732 0.1250 0.2500  2 Ru 2.34
Ga 0.8768 0.6250 0.2500  2 Ru 2.34
Ga 0.3750 0.1268 0.7500  2 Ru 2.34
Ga 0.8750 0.1232 0.7500  2 Ru 2.34
Rb 0.5000 0.5000 0.0000  8 Ga 3.96-3.97
Rb 0.2500 0.7500 0.5000  8 Ga 3.96-3.97

Values from the calculation:
Distance to the lowest polymorph of the same formula = 0.000 eV/f.u.
V = 280.22 Å³ per cell
E_tot = -3.94 eV/atom
E_form = 0.14 eV/atom
M_tot = 0.0 μB/cell


# 5
Entry from Alexandria: a geometry-optimized Cs3US4 structure (PBE).

Lattice parameters (Å, degrees): 8.0812 8.0812 8.0812 92.10 116.84 120.79
Last column: nearest neighbours and their distance in Å.
Positions (direct):
Cs 0.5463 0.2284 0.7747  3 S 3.40-3.68
Cs 0.0358 0.0000 0.0358  4 S 3.30-3.58
Cs 0.5463 0.7716 0.3179  3 S 3.40-3.68
U 0.0172 0.5000 0.5172  4 S 2.46-2.49
S 0.1582 0.6949 0.8530  1 U 2.49
S 0.1582 0.3051 0.4633  1 U 2.49
S 0.5962 0.2516 0.3445  1 U 2.46
S 0.0929 0.7484 0.3445  1 U 2.46

Values from the calculation:
Distance to the lowest polymorph of the same formula = 1.271 eV/f.u.
V = 379.06 Å³ per cell
E_tot = -4.91 eV/atom
M_tot = 1.0 μB/cell


# 6
Entry from Alexandria: a geometry-optimized AgPt2Au structure (PBE).

Lattice parameters (Å, degrees): 2.7879 2.7879 9.9098 90.00 90.00 119.17
Last column: nearest neighbours and their distance in Å.
Positions (direct):
Au 0.5000 0.5000 0.7500  6 Au 2.79-2.82, 4 Pt 2.87
Ag 0.5000 0.5000 0.2500  6 Ag 2.79-2.82, 4 Pt 2.83
Pt 0.0000 0.0000 0.0023  6 Pt 2.79-2.82, 2 Ag 2.83, 2 Au 2.87
Pt 0.0000 0.0000 0.4977  6 Pt 2.79-2.82, 2 Ag 2.83, 2 Au 2.87

Values from the calculation:
Distance to the lowest polymorph of the same formula = 0.266 eV/f.u.
V = 67.25 Å³ per cell
E_tot = -4.52 eV/atom
E_form = 0.03 eV/atom
M_tot = 0.0 μB/cell


Q: Look up the V of the second one.
A: 508.34 Å³ per cell